Entry 1:
Y2BiIr2 | PBE | relaxed

```
data_Y2BiIr2
_symmetry_space_group_name_H-M 'P 4/m b m'
_symmetry_Int_Tables_number 127
_symmetry_space_group_name_Hall '-P 4 2ab'
_cell_length_a 7.629
_cell_length_b 7.629
_cell_length_c 3.886
_cell_angle_alpha 90.00
_cell_angle_beta 90.00
_cell_angle_gamma 90.00
loop_
_atom_site_label
_atom_site_type_symbol
_atom_site_fract_x
_atom_site_fract_y
_atom_site_fract_z
Y1 Y 0.176 0.324 0.000
Bi1 Bi 0.000 0.000 0.500
Ir1 Ir 0.121 0.621 0.500
```

Summary:
D(E_F)   7.66 states/eV per cell
E   -75.008 eV per cell
Energy relative to the elements   -0.59 eV per atom
Relative energy among the computed polymorphs   0 meV/atom
Total magnetization   0.0 μB per formula unit

=====

Entry 2:
Li8AlAg5 | PBE | relaxed

```
data_Li8AlAg5
_symmetry_space_group_name_H-M 'I -4'
_symmetry_Int_Tables_number 82
_cell_length_a 7.725
_cell_length_b 7.725
_cell_length_c 8.053
_cell_angle_alpha 90.00
_cell_angle_beta 90.00
_cell_angle_gamma 90.00
loop_
_symmetry_equiv_pos_as_xyz
'x,y,z'
'y,-x,-z'
'-x,-y,z'
'-y,x,-z'
'x+1/2,y+1/2,z+1/2'
'y+1/2,-x+1/2,-z+1/2'
'-x+1/2,-y+1/2,z+1/2'
'-y+1/2,x+1/2,-z+1/2'
loop_
_atom_site_label
_atom_site_type_symbol
_atom_site_fract_x
_atom_site_fract_y
_atom_site_fract_z
Li1 Li 0.063 0.334 0.081
Li2 Li 0.099 0.173 0.735
Al1 Al 0.000 0.500 0.750
Ag1 Ag 0.000 0.000 0.000
Ag2 Ag 0.128 0.205 0.411
```

Summary:
D(E_F)   9.67 states/eV per cell
E   -68.430 eV per cell
Energy relative to the elements   -0.06 eV per atom
Total magnetization   0.0 μB per formula unit